No. 1
The following is a GGA-PBE calculation of crystalline Li2Er3In4 at its relaxed geometry, from the Alexandria database.

```
Li2Er3In4
1.0
5.4262 -2.4380 0.0000
5.4262 2.4380 0.0000
-4.4991 0.0000 8.0995
Li Er In
2 3 4
Cartesian
-0.0518 0.0000 2.3044
6.4051 0.0000 5.7950
-1.1839 0.0000 5.3461
5.4262 0.0000 0.0000
7.5372 0.0000 2.7534
2.1599 0.0000 0.6433
2.0566 0.0000 5.0389
4.2967 0.0000 3.0606
4.1934 0.0000 7.4562
```

Computed properties:
Formation energy from the elements ... -0.39 eV/atom
SG ... No. 12
N(E_F) ... 3.66 states/eV/f.u.
V ... 214 Å³ per cell
ρ ... 7.55 g/cm³

No. 2
The following is a GGA-PBE calculation of crystalline Li2ErIn9 at its relaxed geometry, from the Alexandria database.

```
Li2ErIn9
1.0
4.5542 0.0000 0.0000
0.0000 4.5542 0.0000
0.0000 0.0000 13.9237
Li Er In
2 1 9
Cartesian
0.0000 0.0000 2.4042
0.0000 0.0000 11.5194
0.0000 0.0000 6.9618
0.0000 2.2771 0.0000
0.0000 2.2771 4.5684
0.0000 2.2771 9.3553
2.2771 0.0000 0.0000
2.2771 0.0000 4.5684
2.2771 0.0000 9.3553
2.2771 2.2771 2.3272
2.2771 2.2771 6.9618
2.2771 2.2771 11.5965
```

Computed properties:
Formation energy from the elements ... -0.20 eV/atom
SG ... No. 123
N(E_F) ... 6.54 states/eV/f.u.
V ... 289 Å³ per cell
ρ ... 6.98 g/cm³

No. 3
The following is a GGA-PBE calculation of crystalline LiEr4In at its relaxed geometry, from the Alexandria database.

```
LiEr4In
1.0
5.0068 0.0000 0.0000
0.0000 5.0068 0.0000
0.0000 0.0000 7.4392
Li Er In
1 4 1
Cartesian
0.0000 0.0000 0.0000
0.0000 2.5034 1.8279
0.0000 2.5034 5.6113
2.5034 0.0000 1.8279
2.5034 0.0000 5.6113
2.5034 2.5034 3.7196
```

Computed properties:
Formation energy from the elements ... 0.22 eV/atom
SG ... No. 123
N(E_F) ... 7.02 states/eV/f.u.
V ... 186 Å³ per cell
ρ ... 7.04 g/cm³

No. 4
The following is a GGA-PBE calculation of crystalline Li2ErIn at its relaxed geometry, from the Alexandria database.

```
Li2ErIn
1.0
4.5188 0.0000 0.0000
0.0000 4.5188 0.0000
0.0000 0.0000 4.4928
Li Er In
2 1 1
Cartesian
0.0000 2.2594 0.0000
2.2594 0.0000 0.0000
0.0000 0.0000 2.2464
2.2594 2.2594 2.2464
```

Computed properties:
Formation energy from the elements ... -0.11 eV/atom
Energy above the most stable polymorph in this dataset ... 0.156 eV per atom
SG ... No. 123
N(E_F) ... 3.54 states/eV/f.u.
V ... 92 Å³ per cell
ρ ... 5.36 g/cm³